Record 1
Compound: Ta2SnRh
Source: Alexandria
Functional: GGA-PBE
Structure: optimized geometry

Geometry as POSCAR:
```
Ta2SnRh
1.0
3.909 0.000 0.000
0.000 3.909 0.000
1.954 1.954 10.075
Rh Sn Ta
2 2 4
Cartesian
1.954 1.954 0.000
1.954 3.909 5.037
0.000 0.000 0.000
3.909 1.954 5.037
2.947 0.977 2.519
0.962 2.931 2.519
2.931 2.916 7.556
4.886 4.901 7.556
```

Output
The density of states at the Fermi level comes out at 0.9575 states/eV/atom. The calculation puts the uncorrected energy at -8.4341 eV per atom. The value obtained for the calculated volume is 19.2 A^3/atom. For the formation enthalpy at 0 K, the calculation gives 330.8 meV/atom. The space group is I-42d, No. 122.

Record 2
Compound: Ba3UP2N6
Source: Alexandria
Functional: GGA-PBE
Structure: optimized geometry

Geometry as POSCAR:
```
Ba3UP2N6
1.0
-3.776 -3.910 -2.277
4.924 -1.858 2.651
-3.463 -0.286 6.232
Ba U P N
3 1 2 6
Cartesian
-0.327 -2.736 5.240
-1.987 -3.318 1.366
0.000 0.000 0.000
-1.731 -0.143 3.116
-3.546 -3.446 4.171
1.232 -2.607 2.435
0.508 -4.130 2.713
-0.025 -1.454 2.539
2.259 -2.316 3.769
-2.288 -4.599 4.067
-2.821 -1.924 3.893
-4.573 -3.738 2.837
```

Output
The density of states at the Fermi level comes out at 0.0072 states/eV/atom. The calculation puts the uncorrected energy at -7.4676 eV per atom. The value obtained for the calculated volume is 17.9 A^3/atom. The value obtained for the uncorrected formation energy is -0.98 eV/atom. The space group is P-3m1, No. 164.

Record 3
Compound: DyScPdPt
Source: Alexandria
Functional: GGA-PBE
Structure: optimized geometry

Geometry as POSCAR:
```
DyScPdPt
1.0
3.623 0.000 0.000
0.000 4.487 0.000
-1.811 0.000 5.085
Dy Sc Pd Pt
1 1 1 1
Cartesian
1.811 2.244 3.665
0.000 0.000 1.387
1.811 2.244 0.905
0.000 0.000 4.212
```

Output
The density of states at the Fermi level comes out at 0.9244 states/eV/atom. The polymorph energy (0 for the lowest one) is 0 meV per atom. The calculation puts the uncorrected energy at -6.5969 eV per atom. The value obtained for the calculated volume is 20.7 A^3/atom. For the formation enthalpy at 0 K, the calculation gives -1055.1 meV/atom. The space group is Amm2, No. 38.